[1]
A geometry-optimized CsHoBeSe3 structure, computed with PBE.

Cell and atoms, written as CIF:
```
data_CsHoBeSe3
_chemical_formula_sum 'Cs2 Ho2 Be2 Se6'
_cell_length_a 9.920
_cell_length_b 4.041
_cell_length_c 9.936
_cell_angle_alpha 90.00
_cell_angle_beta 113.07
_cell_angle_gamma 90.00
_space_group_name_H-M_alt 'P 1 21/m 1'
_space_group_IT_number 11
_space_group_name_Hall '-P 2yb'
loop_
_atom_site_label
_atom_site_type_symbol
_atom_site_fract_x
_atom_site_fract_y
_atom_site_fract_z
Cs1 Cs 0.214 0.250 0.243
Ho1 Ho 0.331 0.750 0.857
Be1 Be 0.077 0.250 0.606
Se1 Se 0.123 0.250 0.843
Se2 Se 0.166 0.750 0.537
Se3 Se 0.477 0.750 0.164
```

As for the energy relative to the elements, uncorrected: -1.4082 eV/atom.

[2]
A geometry-optimized Cs5BeI8 structure, computed with PBE.

Cell and atoms, written as CIF:
```
data_Cs5BeI8
_chemical_formula_sum 'Cs10 Be2 I16'
_cell_length_a 11.082
_cell_length_b 11.082
_cell_length_c 13.740
_cell_angle_alpha 90.00
_cell_angle_beta 90.00
_cell_angle_gamma 90.00
_space_group_name_H-M_alt 'I -4'
_space_group_IT_number 82
_space_group_name_Hall 'I -4'
loop_
_atom_site_label
_atom_site_type_symbol
_atom_site_fract_x
_atom_site_fract_y
_atom_site_fract_z
Cs1 Cs 0.000 0.000 0.000
Cs2 Cs 0.137 0.284 0.612
Be1 Be 0.000 0.500 0.250
I1 I 0.024 0.314 0.341
I2 I 0.121 0.292 0.894
```

As for the energy relative to the elements, uncorrected: -1.1298 eV/atom.

[3]
A geometry-optimized CsBeI3 structure, computed with PBE.

Cell and atoms, written as CIF:
```
data_CsBeI3
_chemical_formula_sum 'Cs4 Be4 I12'
_cell_length_a 8.607
_cell_length_b 8.607
_cell_length_c 11.493
_cell_angle_alpha 90.00
_cell_angle_beta 90.00
_cell_angle_gamma 90.00
_space_group_name_H-M_alt 'I 4/m m m'
_space_group_IT_number 139
_space_group_name_Hall '-I 4 2'
loop_
_atom_site_label
_atom_site_type_symbol
_atom_site_fract_x
_atom_site_fract_y
_atom_site_fract_z
Cs1 Cs 0.000 0.500 0.250
Be1 Be 0.000 0.000 0.000
Be2 Be 0.000 0.000 0.500
I1 I 0.000 0.000 0.193
I2 I 0.212 0.212 0.500
```

As for the energy relative to the elements, uncorrected: -0.7497 eV/atom. Its relative energy among the computed polymorphs is 1.146 eV per formula unit.

[4]
A geometry-optimized Cs2BeI5 structure, computed with PBE.

Cell and atoms, written as CIF:
```
data_Cs2BeI5
_chemical_formula_sum 'Cs2 Be1 I5'
_cell_length_a 6.775
_cell_length_b 7.996
_cell_length_c 7.996
_cell_angle_alpha 99.91
_cell_angle_beta 102.37
_cell_angle_gamma 102.26
_space_group_name_H-M_alt 'P 1'
_space_group_IT_number 1
_space_group_name_Hall 'P 1'
loop_
_atom_site_label
_atom_site_type_symbol
_atom_site_fract_x
_atom_site_fract_y
_atom_site_fract_z
Cs1 Cs 0.000 0.000 0.000
Cs2 Cs 0.001 0.456 0.543
Be1 Be 0.708 0.832 0.375
I1 I 0.077 0.958 0.502
I2 I 0.114 0.535 0.078
I3 I 0.569 0.051 0.254
I4 I 0.569 0.710 0.594
I5 I 0.632 0.569 0.112
```

As for the energy relative to the elements, uncorrected: -0.9723 eV/atom.

[5]
A geometry-optimized CsBeI2 structure, computed with PBE.

Cell and atoms, written as CIF:
```
data_CsBeI2
_chemical_formula_sum 'Cs4 Be4 I8'
_cell_length_a 8.574
_cell_length_b 8.574
_cell_length_c 8.574
_cell_angle_alpha 90.00
_cell_angle_beta 90.00
_cell_angle_gamma 90.00
_space_group_name_H-M_alt 'F m -3 m'
_space_group_IT_number 225
_space_group_name_Hall '-F 4 2 3'
loop_
_atom_site_label
_atom_site_type_symbol
_atom_site_fract_x
_atom_site_fract_y
_atom_site_fract_z
Cs1 Cs 0.000 0.000 0.000
Be1 Be 0.000 0.000 0.500
I1 I 0.250 0.250 0.250
```

As for the energy relative to the elements, uncorrected: 0.0228 eV/atom.

[6]
A geometry-optimized Cs5Be2I12 structure, computed with PBE.

Cell and atoms, written as CIF:
```
data_Cs5Be2I12
_chemical_formula_sum 'Cs10 Be4 I24'
_cell_length_a 20.626
_cell_length_b 9.967
_cell_length_c 10.449
_cell_angle_alpha 90.00
_cell_angle_beta 117.55
_cell_angle_gamma 90.00
_space_group_name_H-M_alt 'C 1 2/m 1'
_space_group_IT_number 12
_space_group_name_Hall '-C 2y'
loop_
_atom_site_label
_atom_site_type_symbol
_atom_site_fract_x
_atom_site_fract_y
_atom_site_fract_z
Cs1 Cs 0.000 0.000 0.000
Cs2 Cs 0.185 0.500 0.479
Cs3 Cs 0.239 0.000 0.952
Be1 Be 0.000 0.158 0.500
I1 I 0.021 0.500 0.893
I2 I 0.069 0.000 0.426
I3 I 0.087 0.285 0.697
I4 I 0.181 0.224 0.201
```

As for the energy relative to the elements, uncorrected: -0.9376 eV/atom.

E (eV per cell)
-56.120 -72.426 -51.914 -20.962 -30.355 -96.271